A relaxed structure of SiWO2. Source: the Alexandria database, functional GGA+U.

Total DFT energy (no corrections), eV/atom: -6.6040
Calculated volume, Å³ per cell: 53.5

Cell lengths 8.510, 8.510, 8.510 Å; angles 18.38, 18.38, 18.38 degrees
Fractional coordinates of all 4 atoms:
Si 0.500 0.500 0.500
O 0.869 0.869 0.869
O 0.131 0.131 0.131
W 0.000 0.000 0.000